BaAc2NpO8 | PBE | relaxed

Results
- formation energy without anion corrections (eV per atom) = -2.84
- VASP energy (eV per atom) = -8.070
- space group = P2/m (10)

extended XYZ file:
```
12
Lattice="-3.765 -1.077 1.905 0.016 -4.217 -3.786 4.087 -4.798 5.362" Properties=species:S:1:pos:R:3 pbc="T T T"
Np 0.000 0.000 0.000
Ba 2.043 -2.399 2.681
O -0.263 -5.862 5.276
O 2.534 -6.123 5.360
O 3.120 -7.188 1.511
O 0.601 -4.230 -1.794
O 0.248 -5.895 0.921
O 0.090 -4.197 2.561
O -2.782 -2.905 1.971
O -2.196 -3.969 -1.878
Ac -0.922 -3.765 0.310
Ac 1.260 -6.327 3.173
```